Compound: GePt
Source: Alexandria
Functional: PBE
Structure: optimized geometry

**VASP energy**: -43.84 eV for the cell shown
**Size of the total moment**: 0.00 μB per formula unit

Geometry as POSCAR:
```
GePt
1.0
-3.7881 3.7881 3.7881
3.7881 -3.7881 3.7881
3.7881 3.7881 -3.7881
Ge Pt
4 4
Cartesian
2.3814 2.3814 -2.3814 Ge
2.3814 -2.3814 2.3814 Ge
1.4067 1.4067 1.4067 Ge
-2.3814 2.3814 2.3814 Ge
1.0288 1.0288 -1.0288 Pt
1.0288 -1.0288 1.0288 Pt
-1.0288 1.0288 1.0288 Pt
2.7592 2.7592 2.7592 Pt
```